A plane-wave DFT calculation with PBE-GGA was carried out for a relaxed structure of Np3Tl3IrS8.

```
data_Np3Tl3IrS8
_cell_length_a 7.703
_cell_length_b 7.698
_cell_length_c 8.983
_cell_angle_alpha 115.39
_cell_angle_beta 90.14
_cell_angle_gamma 119.97
_symmetry_space_group_name_H-M 'P 1'
_symmetry_Int_Tables_number 1
_symmetry_space_group_name_Hall 'P 1'
loop_
_atom_site_label
_atom_site_fract_x
_atom_site_fract_y
_atom_site_fract_z
Ir1 0.000 0.000 0.500
S1 0.733 0.468 0.702
S2 0.787 0.573 0.315
Np1 0.500 0.000 0.500
Tl1 0.500 0.500 0.000
S3 0.213 0.427 0.685
Tl2 0.000 0.500 0.000
Np2 0.000 0.500 0.500
S4 0.243 0.029 0.316
Tl3 0.000 0.000 0.000
S5 0.267 0.532 0.298
S6 0.213 0.971 0.684
S7 0.787 0.029 0.316
Np3 0.500 0.500 0.500
S8 0.757 0.971 0.684
```

Output
Energy relative to the elements, uncorrected   -80 kJ per mole of atoms
Space group   C2/m



A plane-wave DFT calculation with PBE-GGA was carried out for a relaxed structure of Sm5Ga2Ag.

```
data_Sm5Ga2Ag
_cell_length_a 6.965
_cell_length_b 6.965
_cell_length_c 6.558
_cell_angle_alpha 122.09
_cell_angle_beta 122.09
_cell_angle_gamma 89.98
_symmetry_space_group_name_H-M 'P 1'
_symmetry_Int_Tables_number 1
_symmetry_space_group_name_Hall 'P 1'
loop_
_atom_site_label
_atom_site_fract_x
_atom_site_fract_y
_atom_site_fract_z
Sm1 0.722 0.722 0.444
Sm2 0.722 0.722 0.944
Ga1 0.222 0.722 0.444
Sm3 0.222 0.722 0.944
Ag1 0.222 0.222 0.444
Ga2 0.722 0.222 0.444
Sm4 0.222 0.222 0.944
Sm5 0.722 0.222 0.944
```

Output
ΔE_f   -0.26 eV/atom
Relative energy among the computed polymorphs   0.1007 eV per atom
Space group   I4/mmm



A plane-wave DFT calculation with PBE-GGA was carried out for a relaxed structure of Pm2MgSnPt6.

```
data_Pm2MgSnPt6
_cell_length_a 9.052
_cell_length_b 5.606
_cell_length_c 9.051
_cell_angle_alpha 71.97
_cell_angle_beta 36.08
_cell_angle_gamma 90.01
_symmetry_space_group_name_H-M 'P 1'
_symmetry_Int_Tables_number 1
_symmetry_space_group_name_Hall 'P 1'
loop_
_atom_site_label
_atom_site_fract_x
_atom_site_fract_y
_atom_site_fract_z
Pt1 0.746 0.254 0.994
Pt2 0.752 0.746 0.508
Pt3 0.248 0.254 0.492
Sn1 0.000 0.000 0.000
Pt4 0.746 0.752 0.994
Pt5 0.254 0.248 0.006
Mg1 0.500 0.500 0.000
Pt6 0.254 0.746 0.006
Pm1 0.203 0.797 0.407
Pm2 0.797 0.203 0.593
```

Output
ΔE_f   -0.74 eV/atom
Space group   R-3m



A plane-wave DFT calculation with PBE-GGA was carried out for a relaxed structure of TiInAu.

```
data_TiInAu
_cell_length_a 3.072
_cell_length_b 5.618
_cell_length_c 8.119
_cell_angle_alpha 103.47
_cell_angle_beta 67.77
_cell_angle_gamma 74.06
_symmetry_space_group_name_H-M 'P 1'
_symmetry_Int_Tables_number 1
_symmetry_space_group_name_Hall 'P 1'
loop_
_atom_site_label
_atom_site_fract_x
_atom_site_fract_y
_atom_site_fract_z
Ti1 0.777 0.902 0.791
Au1 0.767 0.521 0.492
Au2 0.160 0.681 0.017
Ti2 0.150 0.300 0.718
In1 0.759 0.275 0.123
In2 0.168 0.926 0.386
```

Output
ΔE_f   -0.23 eV/atom
Space group   P-1



What did the third record say?
A plane-wave DFT calculation with PBE-GGA was carried out for a relaxed structure of Pm2MgSnPt6.

```
data_Pm2MgSnPt6
_cell_length_a 9.052
_cell_length_b 5.606
_cell_length_c 9.051
_cell_angle_alpha 71.97
_cell_angle_beta 36.08
_cell_angle_gamma 90.01
_symmetry_space_group_name_H-M 'P 1'
_symmetry_Int_Tables_number 1
_symmetry_space_group_name_Hall 'P 1'
loop_
_atom_site_label
_atom_site_fract_x
_atom_site_fract_y
_atom_site_fract_z
Pt1 0.746 0.254 0.994
Pt2 0.752 0.746 0.508
Pt3 0.248 0.254 0.492
Sn1 0.000 0.000 0.000
Pt4 0.746 0.752 0.994
Pt5 0.254 0.248 0.006
Mg1 0.500 0.500 0.000
Pt6 0.254 0.746 0.006
Pm1 0.203 0.797 0.407
Pm2 0.797 0.203 0.593
```

Output
ΔE_f   -0.74 eV/atom
Space group   R-3m



- Which formula does entry 2 have?
  Sm5Ga2Ag